(1)
Density functional theory data (PBE-GGA) for a relaxed Sm4Sn2H crystal.

abc: 6.417 6.603 9.384
angles: 90.00 109.71 90.00
Space group P2_1/m (No. 11)
Inequivalent atoms, fractional coordinates:
Sm: 0.034 0.000 0.290 (multiplicity 4)
Sm: 0.375 0.250 0.061 (multiplicity 2)
Sm: 0.433 0.250 0.647 (multiplicity 2)
Sn: 0.188 0.750 0.034 (multiplicity 2)
Sn: 0.331 0.750 0.596 (multiplicity 2)
H: 0.220 0.250 0.801 (multiplicity 2)

Properties
- Total magnetization: 0.00 μB/cell
- Energy above the most stable polymorph in this dataset: 4 meV per atom
- Uncorrected energy: -34.5 eV/f.u.

***

(2)
Density functional theory data (PBE-GGA) for a relaxed Pr4Te8Pd3 crystal.

abc: 4.558 4.558 19.569
angles: 90.00 90.00 90.00
Space group P-4m2 (No. 115)
Inequivalent atoms, fractional coordinates:
Pr: 0.000 0.500 0.118 (multiplicity 2)
Pr: 0.000 0.500 0.625 (multiplicity 2)
Te: 0.000 0.000 0.246 (multiplicity 2)
Te: 0.000 0.500 0.416 (multiplicity 2)
Te: 0.000 0.500 0.924 (multiplicity 2)
Te: 0.500 0.500 0.246 (multiplicity 2)
Pd: 0.000 0.000 0.000 (multiplicity 1)
Pd: 0.000 0.000 0.500 (multiplicity 1)
Pd: 0.500 0.500 0.500 (multiplicity 1)

Properties
- Total magnetization: 0.00 μB/cell
- Uncorrected energy: -75.7 eV/f.u.
- Raw formation energy: -1.055 eV/atom

***

(3)
Density functional theory data (PBE-GGA) for a relaxed Th2Ge2Au crystal.

abc: 11.251 4.345 11.099
angles: 90.00 116.46 90.00
Space group C2/m (No. 12)
Inequivalent atoms, fractional coordinates:
Th: 0.091 0.000 0.402 (multiplicity 4)
Th: 0.201 0.500 0.157 (multiplicity 4)
Ge: 0.058 0.000 0.927 (multiplicity 4)
Ge: 0.150 0.500 0.622 (multiplicity 4)
Au: 0.071 0.500 0.814 (multiplicity 4)

Properties
- Total magnetization: 0.00 μB/cell
- DFT formation energy: -68.3 kJ/mol of atoms
- Energy above the most stable polymorph in this dataset: 0 meV per atom
- Uncorrected energy: -30.9 eV/f.u.

***

(4)
Density functional theory data (PBE-GGA) for a relaxed MnH2IrPt crystal.

abc: 3.556 3.556 5.207
angles: 90.00 90.00 90.00
Space group P4/mmm (No. 123)
Inequivalent atoms, fractional coordinates:
Mn: 0.000 0.000 0.000 (multiplicity 1)
H: 0.000 0.500 0.000 (multiplicity 2)
Ir: 0.500 0.500 0.500 (multiplicity 1)
Pt: 0.000 0.000 0.500 (multiplicity 1)

Properties
- Total magnetization: 4.33 μB/cell
- Uncorrected energy: -27.2 eV/f.u.

***

(5)
Density functional theory data (PBE-GGA) for a relaxed SmDyTl crystal.

abc: 7.407 7.407 7.407
angles: 90.00 90.00 90.00
Space group F-43m (No. 216)
Inequivalent atoms, fractional coordinates:
Sm: 0.000 0.000 0.000 (multiplicity 4)
Dy: 0.000 0.000 0.500 (multiplicity 4)
Tl: 0.250 0.250 0.750 (multiplicity 4)

Properties
- Total magnetization: 0.58 μB/cell
- DFT formation energy: -3.4 kJ/mol of atoms
- Energy above the most stable polymorph in this dataset: 227 meV per atom
- Uncorrected energy: -11.8 eV/f.u.

***

(6)
Density functional theory data (PBE-GGA) for a relaxed Np3Sn2S8 crystal.

abc: 14.119 8.033 6.843
angles: 90.00 108.63 90.00
Space group C2/m (No. 12)
Inequivalent atoms, fractional coordinates:
Np: 0.000 0.000 0.000 (multiplicity 2)
Np: 0.000 0.258 0.500 (multiplicity 4)
Sn: 0.244 0.000 0.822 (multiplicity 4)
S: 0.107 0.000 0.409 (multiplicity 4)
S: 0.108 0.500 0.432 (multiplicity 4)
S: 0.114 0.226 0.897 (multiplicity 8)

Properties
- Total magnetization: 18.00 μB/cell
- Uncorrected energy: -92.4 eV/f.u.
- Raw formation energy: -0.963 eV/atom

***

(7)
Density functional theory data (PBE-GGA) for a relaxed SrVS2 crystal.

abc: 6.828 6.828 6.828
angles: 90.00 90.00 90.00
Space group Fm-3m (No. 225)
Inequivalent atoms, fractional coordinates:
Sr: 0.000 0.000 0.000 (multiplicity 4)
V: 0.000 0.000 0.500 (multiplicity 4)
S: 0.250 0.250 0.250 (multiplicity 8)

Properties
- Total magnetization: 12.00 μB/cell
- Energy above the most stable polymorph in this dataset: 308 meV per atom
- Uncorrected energy: -22.4 eV/f.u.
- Raw formation energy: -0.825 eV/atom

***

(8)
Density functional theory data (PBE-GGA) for a relaxed CsRb2NaLi crystal.

abc: 7.543 7.543 6.398
angles: 90.00 90.00 90.00
Space group P4/mmm (No. 123)
Inequivalent atoms, fractional coordinates:
Cs: 0.000 0.000 0.000 (multiplicity 1)
Rb: 0.000 0.500 0.500 (multiplicity 2)
Na: 0.500 0.500 0.500 (multiplicity 1)
Li: 0.500 0.500 0.000 (multiplicity 1)

Properties
- Total magnetization: 0.00 μB/cell
- DFT formation energy: 15.0 kJ/mol of atoms
- Energy above the most stable polymorph in this dataset: 39 meV per atom
- Uncorrected energy: -5.2 eV/f.u.

***

(9)
Density functional theory data (PBE-GGA) for a relaxed ThBePd3 crystal.

abc: 4.451 4.451 4.451
angles: 90.00 90.00 90.00
Space group Pm-3m (No. 221)
Inequivalent atoms, fractional coordinates:
Th: 0.000 0.000 0.000 (multiplicity 1)
Be: 0.500 0.500 0.500 (multiplicity 1)
Pd: 0.000 0.500 0.500 (multiplicity 3)

Properties
- Total magnetization: 0.00 μB/cell
- DFT formation energy: -60.0 kJ/mol of atoms
- Energy above the most stable polymorph in this dataset: 99 meV per atom
- Uncorrected energy: -29.8 eV/f.u.

***

(10)
Density functional theory data (PBE-GGA) for a relaxed MgSnHgPd crystal.

abc: 6.867 6.867 6.867
angles: 90.00 90.00 90.00
Space group F-43m (No. 216)
Inequivalent atoms, fractional coordinates:
Mg: 0.000 0.000 0.000 (multiplicity 4)
Sn: 0.000 0.000 0.500 (multiplicity 4)
Hg: 0.250 0.250 0.750 (multiplicity 4)
Pd: 0.250 0.250 0.250 (multiplicity 4)

Properties
- Total magnetization: 0.00 μB/cell
- DFT formation energy: -21.2 kJ/mol of atoms
- Uncorrected energy: -12.0 eV/f.u.

***

(11)
Density functional theory data (PBE-GGA) for a relaxed MnBiAuN crystal.

abc: 3.543 4.182 10.084
angles: 90.00 90.00 90.00
Space group Imm2 (No. 44)
Inequivalent atoms, fractional coordinates:
Mn: 0.000 0.000 0.000 (multiplicity 2)
Bi: 0.000 0.500 0.800 (multiplicity 2)
Au: 0.000 0.500 0.161 (multiplicity 2)
N: 0.000 0.500 0.485 (multiplicity 2)

Properties
- Total magnetization: 4.35 μB/cell
- Energy above the most stable polymorph in this dataset: 176 meV per atom
- Uncorrected energy: -23.4 eV/f.u.
- Raw formation energy: 0.312 eV/atom